Run w
Density functional theory data (GGA-PBE) for a geometry-optimized HfReO2 structure.

Unit cell a=6.9594 b=6.9594 c=6.9594 alpha=24.14 beta=24.14 gamma=24.14
Last column: nearest neighbours and their distance in Å.
Positions (direct):
Hf 0.0000 0.0000 0.0000  6 O 2.14
Re 0.5000 0.5000 0.5000  2 O 2.04
O 0.3991 0.3991 0.3991  1 Re 2.04, 3 Hf 2.14
O 0.6009 0.6009 0.6009  1 Re 2.04, 3 Hf 2.14

Calculated values
total magnetic moment = 0.000 μB/atom
density = 13.30 g cm⁻³
Fermi-level density of states = 3.39 states/eV/f.u.

***

Run x
Density functional theory data (GGA-PBE) for a geometry-optimized HfReO2 structure.

Unit cell a=4.0394 b=4.0394 c=4.0394 alpha=60.00 beta=60.00 gamma=60.00
Last column: nearest neighbours and their distance in Å.
Positions (direct):
Hf 0.0000 0.0000 0.0000  8 O 2.47
Re 0.5000 0.5000 0.5000  8 O 2.47
O 0.2500 0.2500 0.2500  4 Hf 2.47, 4 Re 2.47
O 0.7500 0.7500 0.7500  4 Hf 2.47, 4 Re 2.47

Calculated values
total magnetic moment = 0.000 μB/atom
density = 14.13 g cm⁻³
Fermi-level density of states = 6.55 states/eV/f.u.

***

Run y
Density functional theory data (GGA-PBE) for a geometry-optimized HfReO2 structure.

Unit cell a=6.8816 b=6.8816 c=6.8816 alpha=145.74 beta=145.74 gamma=49.23
Last column: nearest neighbours and their distance in Å.
Positions (direct):
Hf 0.0000 0.0000 0.0000  4 O 2.15
Hf 0.7500 0.2500 0.5000  4 O 2.15
Re 0.2500 0.7500 0.5000  4 O 2.10
Re 0.5000 0.5000 0.0000  4 O 2.10
O 0.1385 0.6250 0.0135  2 Re 2.10, 2 Hf 2.15
O 0.3750 0.3885 0.5135  2 Re 2.10, 2 Hf 2.15
O 0.6115 0.1250 0.9865  2 Re 2.10, 2 Hf 2.15
O 0.8750 0.8615 0.4865  2 Re 2.10, 2 Hf 2.15

Calculated values
total magnetic moment = 0.000 μB/atom
density = 12.81 g cm⁻³
Fermi-level density of states = 1.55 states/eV/f.u.

***

Need the numbers? Relative energies in kJ/mol of atoms: run w 0.0; run x 100.6; run y 26.3.

***

Run w
Density functional theory data (GGA-PBE) for a geometry-optimized HfRhO2 structure.

Unit cell a=6.0989 b=6.0989 c=6.0989 alpha=31.44 beta=31.44 gamma=31.44
Last column: nearest neighbours and their distance in Å.
Positions (direct):
Hf 0.0000 0.0000 0.0000  6 O 2.09
Rh 0.5000 0.5000 0.5000  2 O 2.04
O 0.3828 0.3828 0.3828  1 Rh 2.04, 3 Hf 2.09
O 0.6172 0.6172 0.6172  1 Rh 2.04, 3 Hf 2.09

Calculated values
total magnetic moment = 0.000 μB/atom
density = 9.50 g cm⁻³
Fermi-level density of states = 1.34 states/eV/f.u.

***

Run x
Density functional theory data (GGA-PBE) for a geometry-optimized HfRhO2 structure.

Unit cell a=6.8339 b=6.8339 c=6.8339 alpha=144.48 beta=144.48 gamma=51.11
Last column: nearest neighbours and their distance in Å.
Positions (direct):
Hf 0.0000 0.0000 0.0000  4 O 2.06
Hf 0.7500 0.2500 0.5000  4 O 2.06
Rh 0.2500 0.7500 0.5000  4 O 2.21
Rh 0.5000 0.5000 0.0000  4 O 2.21
O 0.0893 0.6250 0.9643  2 Hf 2.06, 2 Rh 2.21
O 0.3750 0.3393 0.4643  2 Hf 2.06, 2 Rh 2.21
O 0.6607 0.1250 0.0357  2 Hf 2.06, 2 Rh 2.21
O 0.8750 0.9107 0.5357  2 Hf 2.06, 2 Rh 2.21

Calculated values
total magnetic moment = 0.251 μB/atom
density = 9.71 g cm⁻³
Fermi-level density of states = 1.37 states/eV/f.u.

***

Need the numbers? Relative energies in kJ/mol of atoms: run w 0.0; run x 29.5.

***

Run w
Density functional theory data (GGA-PBE) for a geometry-optimized Hf2SbO structure.

Unit cell a=6.8151 b=6.8151 c=6.8151 alpha=30.12 beta=30.12 gamma=30.12
Last column: nearest neighbours and their distance in Å.
Positions (direct):
Hf 0.2224 0.2224 0.2224  3 O 2.32
Hf 0.7776 0.7776 0.7776  3 O 2.32
Sb 0.0000 0.0000 0.0000  6 Hf 2.98
O 0.5000 0.5000 0.5000  6 Hf 2.32

Calculated values
total magnetic moment = 0.000 μB/atom
density = 11.64 g cm⁻³
Fermi-level density of states = 2.21 states/eV/f.u.

***

Run x
Density functional theory data (GGA-PBE) for a geometry-optimized Hf2SbO structure.

Unit cell a=6.8482 b=6.8482 c=6.8482 alpha=131.74 beta=131.74 gamma=70.64
Last column: nearest neighbours and their distance in Å.
Positions (direct):
Hf 0.0054 0.6250 0.8804  2 O 2.11
Hf 0.3750 0.2554 0.3804  2 O 2.11
Hf 0.7446 0.1250 0.1196  2 O 2.11
Hf 0.8750 0.9946 0.6196  2 O 2.11
Sb 0.2500 0.7500 0.5000  4 Hf 2.86
Sb 0.5000 0.5000 0.0000  4 Hf 2.86
O 0.0000 0.0000 0.0000  4 Hf 2.11
O 0.7500 0.2500 0.5000  4 Hf 2.11

Calculated values
total magnetic moment = 0.000 μB/atom
density = 9.38 g cm⁻³
Fermi-level density of states = 2.02 states/eV/f.u.

***

Need the numbers? Relative energies in kJ/mol of atoms: run w 0.0; run x 5.9.